DFT (PBE-GGA) results for a relaxed structure of CaTl2C2.

Output
Space group   No. 127
Formation energy   1.689 eV per atom
Magnetization   0.000 μB per formula unit
Energy relative to the lowest polymorph listed for this composition   359 meV per atom

Cell: 7.6900 7.6900 3.2525 Å, 90.00 90.00 90.00°
Closest atoms and distances in Å follow each position.
Sites, in units of the cell vectors:
Ca 0.0000 0.0000 0.0000  4 Tl 3.02, 8 C 3.21, 2 Ca 3.25
Ca 0.5000 0.5000 0.0000  4 Tl 3.02, 8 C 3.21, 2 Ca 3.25
Tl 0.1292 0.3708 0.0000  2 C 2.46
Tl 0.3708 0.8708 0.0000  2 C 2.46
Tl 0.6292 0.1292 0.0000  2 C 2.46
Tl 0.8708 0.6292 0.0000  2 C 2.46
C 0.2006 0.7006 0.5000  2 Tl 2.46
C 0.2994 0.2006 0.5000  2 Tl 2.46
C 0.7006 0.7994 0.5000  2 Tl 2.46
C 0.7994 0.2994 0.5000  2 Tl 2.46


DFT (PBE-GGA) results for a relaxed structure of CaTlC3.

Output
Space group   No. 221
Formation energy   2.659 eV per atom
Magnetization   0.166 μB per formula unit
Energy relative to the lowest polymorph listed for this composition   0 meV per atom

Cell: 4.4675 4.4675 4.4675 Å, 90.00 90.00 90.00°
Closest atoms and distances in Å follow each position.
Sites, in units of the cell vectors:
Ca 0.0000 0.0000 0.0000  12 C 3.16
Tl 0.5000 0.5000 0.5000  6 C 2.23
C 0.0000 0.5000 0.5000  2 Tl 2.23
C 0.5000 0.0000 0.5000  2 Tl 2.23
C 0.5000 0.5000 0.0000  2 Tl 2.23


DFT (PBE-GGA) results for a relaxed structure of Ca2TlC.

Output
Space group   No. 225
Formation energy   0.663 eV per atom
Magnetization   0.000 μB per formula unit

Cell: 7.1691 7.1691 7.1691 Å, 90.00 90.00 90.00°
Closest atoms and distances in Å follow each position.
Sites, in units of the cell vectors:
Ca 0.2500 0.2500 0.2500  4 Tl 3.10, 4 C 3.10
Ca 0.2500 0.2500 0.7500  4 Tl 3.10, 4 C 3.10
Ca 0.2500 0.7500 0.2500  4 Tl 3.10, 4 C 3.10
Ca 0.2500 0.7500 0.7500  4 Tl 3.10, 4 C 3.10
Ca 0.7500 0.2500 0.2500  4 Tl 3.10, 4 C 3.10
Ca 0.7500 0.2500 0.7500  4 Tl 3.10, 4 C 3.10
Ca 0.7500 0.7500 0.2500  4 Tl 3.10, 4 C 3.10
Ca 0.7500 0.7500 0.7500  4 Tl 3.10, 4 C 3.10
Tl 0.0000 0.0000 0.0000  8 Ca 3.10
Tl 0.0000 0.5000 0.5000  8 Ca 3.10
Tl 0.5000 0.0000 0.5000  8 Ca 3.10
Tl 0.5000 0.5000 0.0000  8 Ca 3.10
C 0.0000 0.0000 0.5000  8 Ca 3.10
C 0.0000 0.5000 0.0000  8 Ca 3.10
C 0.5000 0.0000 0.0000  8 Ca 3.10
C 0.5000 0.5000 0.5000  8 Ca 3.10


DFT (PBE-GGA) results for a relaxed structure of CaTlC2.

Output
Space group   No. 122
Formation energy   1.672 eV per atom
Magnetization   0.931 μB per formula unit
Energy relative to the lowest polymorph listed for this composition   0 meV per atom

Cell: 4.8068 4.8068 13.4982 Å, 90.00 90.00 90.00°
Closest atoms and distances in Å follow each position.
Sites, in units of the cell vectors:
Ca 0.0000 0.0000 0.0000  4 C 2.55
Ca 0.0000 0.5000 0.2500  4 C 2.55
Ca 0.5000 0.0000 0.7500  4 C 2.55
Ca 0.5000 0.5000 0.5000  4 C 2.55
Tl 0.0000 0.0000 0.5000  4 C 2.27
Tl 0.0000 0.5000 0.7500  4 C 2.27
Tl 0.5000 0.0000 0.2500  4 C 2.27
Tl 0.5000 0.5000 0.0000  4 C 2.27
C 0.1915 0.2500 0.6250  2 Tl 2.27
C 0.2500 0.6915 0.8750  2 Tl 2.27
C 0.2500 0.8085 0.3750  2 Tl 2.27
C 0.3085 0.2500 0.1250  2 Tl 2.27
C 0.6915 0.7500 0.1250  2 Tl 2.27
C 0.7500 0.1915 0.3750  2 Tl 2.27
C 0.7500 0.3085 0.8750  2 Tl 2.27
C 0.8085 0.7500 0.6250  2 Tl 2.27


DFT (PBE-GGA) results for a relaxed structure of CaTlC3.

Output
Space group   No. 221
Formation energy   3.068 eV per atom
Magnetization   1.349 μB per formula unit
Energy relative to the lowest polymorph listed for this composition   409 meV per atom

Cell: 4.6395 4.6395 4.6395 Å, 90.00 90.00 90.00°
Closest atoms and distances in Å follow each position.
Sites, in units of the cell vectors:
Ca 0.0000 0.0000 0.0000  6 C 2.32
Tl 0.5000 0.5000 0.5000  12 C 3.28
C 0.0000 0.0000 0.5000  2 Ca 2.32
C 0.0000 0.5000 0.0000  2 Ca 2.32
C 0.5000 0.0000 0.0000  2 Ca 2.32


DFT (PBE-GGA) results for a relaxed structure of CaV3C.

Output
Space group   No. 221
Formation energy   0.353 eV per atom
Magnetization   0.536 μB per formula unit
Energy relative to the lowest polymorph listed for this composition   0 meV per atom

Cell: 4.1860 4.1860 4.1860 Å, 90.00 90.00 90.00°
Closest atoms and distances in Å follow each position.
Sites, in units of the cell vectors:
Ca 0.0000 0.0000 0.0000  12 V 2.96
V 0.0000 0.5000 0.5000  2 C 2.09
V 0.5000 0.0000 0.5000  2 C 2.09
V 0.5000 0.5000 0.0000  2 C 2.09
C 0.5000 0.5000 0.5000  6 V 2.09


DFT (PBE-GGA) results for a relaxed structure of CaV3C.

Output
Space group   No. 221
Formation energy   3.349 eV per atom
Magnetization   0.002 μB per formula unit
Energy relative to the lowest polymorph listed for this composition   2996 meV per atom

Cell: 4.2755 4.2755 4.2755 Å, 90.00 90.00 90.00°
Closest atoms and distances in Å follow each position.
Sites, in units of the cell vectors:
Ca 0.0000 0.0000 0.0000  6 V 2.14
V 0.0000 0.0000 0.5000  2 Ca 2.14
V 0.0000 0.5000 0.0000  2 Ca 2.14
V 0.5000 0.0000 0.0000  2 Ca 2.14
C 0.5000 0.5000 0.5000  12 V 3.02


DFT (PBE-GGA) results for a relaxed structure of CaV2C.

Output
Space group   No. 227
Formation energy   0.495 eV per atom
Magnetization   1.013 μB per formula unit

Cell: 6.1083 6.1083 6.1083 Å, 60.00 60.00 60.00°
Closest atoms and distances in Å follow each position.
Sites, in units of the cell vectors:
Ca 0.1250 0.1250 0.1250  12 V 3.58, 4 Ca 3.74, 4 C 3.74
Ca 0.8750 0.8750 0.8750  12 V 3.58, 4 Ca 3.74, 4 C 3.74
V 0.0000 0.5000 0.5000  2 C 1.87
V 0.5000 0.0000 0.5000  2 C 1.87
V 0.5000 0.5000 0.0000  2 C 1.87
V 0.5000 0.5000 0.5000  2 C 1.87
C 0.3750 0.3750 0.3750  4 V 1.87
C 0.6250 0.6250 0.6250  4 V 1.87


DFT (PBE-GGA) results for a relaxed structure of Ca4V2C.

Output
Space group   No. 139
Formation energy   0.862 eV per atom
Magnetization   9.461 μB per formula unit

Cell: 4.9727 4.9727 16.4804 Å, 90.00 90.00 90.00°
Closest atoms and distances in Å follow each position.
Sites, in units of the cell vectors:
Ca 0.0000 0.0000 0.1534  1 C 2.53
Ca 0.0000 0.0000 0.8466  1 C 2.53
Ca 0.0000 0.5000 0.0000  2 C 2.49
Ca 0.0000 0.5000 0.5000  2 C 2.49
Ca 0.5000 0.0000 0.0000  2 C 2.49
Ca 0.5000 0.0000 0.5000  2 C 2.49
Ca 0.5000 0.5000 0.3466  1 C 2.53
Ca 0.5000 0.5000 0.6534  1 C 2.53
V 0.0000 0.0000 0.3510  9 Ca 3.26-3.52
V 0.0000 0.0000 0.6490  9 Ca 3.26-3.52
V 0.5000 0.5000 0.1490  9 Ca 3.26-3.52
V 0.5000 0.5000 0.8510  9 Ca 3.26-3.52
C 0.0000 0.0000 0.0000  6 Ca 2.49-2.53
C 0.5000 0.5000 0.5000  6 Ca 2.49-2.53


DFT (PBE-GGA) results for a relaxed structure of Ca2VC.

Output
Space group   No. 122
Formation energy   0.348 eV per atom
Magnetization   2.448 μB per formula unit

Cell: 9.9335 9.9335 4.0192 Å, 90.00 90.00 90.00°
Closest atoms and distances in Å follow each position.
Sites, in units of the cell vectors:
Ca 0.0707 0.7500 0.1250  2 C 2.63
Ca 0.2500 0.0707 0.8750  2 C 2.63
Ca 0.2500 0.4293 0.3750  2 C 2.63
Ca 0.4293 0.7500 0.6250  2 C 2.63
Ca 0.5707 0.2500 0.6250  2 C 2.63
Ca 0.7500 0.5707 0.3750  2 C 2.63
Ca 0.7500 0.9293 0.8750  2 C 2.63
Ca 0.9293 0.2500 0.1250  2 C 2.63
V 0.0000 0.0000 0.5000  2 C 2.01
V 0.0000 0.5000 0.7500  2 C 2.01
V 0.5000 0.0000 0.2500  2 C 2.01
V 0.5000 0.5000 0.0000  2 C 2.01
C 0.0000 0.0000 0.0000  2 V 2.01
C 0.0000 0.5000 0.2500  2 V 2.01
C 0.5000 0.0000 0.7500  2 V 2.01
C 0.5000 0.5000 0.5000  2 V 2.01


DFT (PBE-GGA) results for a relaxed structure of Ca2WC.

Output
Space group   No. 122
Formation energy   0.621 eV per atom
Magnetization   1.169 μB per formula unit

Cell: 9.9202 9.9202 4.0844 Å, 90.00 90.00 90.00°
Closest atoms and distances in Å follow each position.
Sites, in units of the cell vectors:
Ca 0.0770 0.2500 0.1250  2 C 2.64
Ca 0.2500 0.5770 0.3750  2 C 2.64
Ca 0.2500 0.9230 0.8750  2 C 2.64
Ca 0.4230 0.2500 0.6250  2 C 2.64
Ca 0.5770 0.7500 0.6250  2 C 2.64
Ca 0.7500 0.0770 0.8750  2 C 2.64
Ca 0.7500 0.4230 0.3750  2 C 2.64
Ca 0.9230 0.7500 0.1250  2 C 2.64
W 0.0000 0.0000 0.5000  2 C 2.04
W 0.0000 0.5000 0.7500  2 C 2.04
W 0.5000 0.0000 0.2500  2 C 2.04
W 0.5000 0.5000 0.0000  2 C 2.04
C 0.0000 0.0000 0.0000  2 W 2.04
C 0.0000 0.5000 0.2500  2 W 2.04
C 0.5000 0.0000 0.7500  2 W 2.04
C 0.5000 0.5000 0.5000  2 W 2.04


DFT (PBE-GGA) results for a relaxed structure of CaWC.

Output
Space group   No. 139
Formation energy   0.398 eV per atom
Magnetization   0.000 μB per formula unit

Cell: 3.6021 3.6021 17.5952 Å, 90.00 90.00 90.00°
Closest atoms and distances in Å follow each position.
Sites, in units of the cell vectors:
Ca 0.0000 0.0000 0.1514  4 C 2.82
Ca 0.0000 0.0000 0.8486  4 C 2.82
Ca 0.5000 0.5000 0.3486  4 C 2.82
Ca 0.5000 0.5000 0.6514  4 C 2.82
W 0.0000 0.5000 0.0000  4 C 2.32, 4 W 2.55
W 0.0000 0.5000 0.5000  4 C 2.32, 4 W 2.55
W 0.5000 0.0000 0.0000  4 C 2.32, 4 W 2.55
W 0.5000 0.0000 0.5000  4 C 2.32, 4 W 2.55
C 0.0000 0.0000 0.4171  4 W 2.32
C 0.0000 0.0000 0.5829  4 W 2.32
C 0.5000 0.5000 0.0829  4 W 2.32
C 0.5000 0.5000 0.9171  4 W 2.32


DFT (PBE-GGA) results for a relaxed structure of CaWC3.

Output
Space group   No. 221
Formation energy   3.599 eV per atom
Magnetization   0.000 μB per formula unit
Energy relative to the lowest polymorph listed for this composition   2670 meV per atom

Cell: 4.0109 4.0109 4.0109 Å, 90.00 90.00 90.00°
Closest atoms and distances in Å follow each position.
Sites, in units of the cell vectors:
Ca 0.0000 0.0000 0.0000  6 C 2.01
W 0.5000 0.5000 0.5000  12 C 2.84
C 0.0000 0.0000 0.5000  2 Ca 2.01
C 0.0000 0.5000 0.0000  2 Ca 2.01
C 0.5000 0.0000 0.0000  2 Ca 2.01